Record 1
Ac2La4Dy3, relaxed, DFT GGA-PBE; DOS(E_F) = 17.737 states/eV/cell; crystal system = orthorhombic; formation energy = 139 meV per atom; total DFT energy (no corrections) = -40.48 eV/cell
1.0
6.8315 -0.8141 -1.4798
-3.8036 5.7328 -1.4798
0.4707 0.7646 8.8682
Dy La Ac
3 4 2
Cartesian
-1.9018 2.8664 -0.7399
3.4158 -0.4071 -0.7399
0.0000 0.0000 0.0000
1.1866 5.4472 3.1509
4.3290 3.5127 3.1509
-0.8305 2.1705 2.7577
2.3120 0.2361 2.7577
1.5288 2.4835 5.6916
1.9697 3.1998 0.2171

Record 2
Ac8La3Dy, relaxed, DFT GGA-PBE; DOS(E_F) = 21.172 states/eV/cell; crystal system = tetragonal; formation energy = 561 meV per atom; total DFT energy (no corrections) = -45.52 eV/cell
1.0
8.2895 -0.6931 -4.0472
-4.8897 7.7726 -1.1201
-0.4361 0.6931 9.2144
Ac Dy La
8 1 3
Cartesian
-1.5990 2.5419 6.7793
-3.4587 5.4979 7.4811
4.4255 5.4489 -2.5235
2.8338 1.6306 -0.1043
-4.6171 7.3393 4.7931
0.1757 2.9678 1.9573
0.2672 5.9238 3.9429
5.5382 0.4333 -2.0899
0.0000 0.0000 0.0000
-2.6629 4.2328 4.0472
0.3685 5.6561 -0.5600
2.5953 2.1164 4.6072

Record 3
AcLa4Dy3, relaxed, DFT GGA-PBE; DOS(E_F) = 12.265 states/eV/cell; crystal system = monoclinic; formation energy = 93 meV per atom; total DFT energy (no corrections) = -36.88 eV/cell
1.0
0.4083 0.8183 -5.8736
3.9496 -4.7467 -0.3867
-8.1064 -3.0684 2.0170
Ac La Dy
1 4 3
Cartesian
0.2041 0.4091 -2.9368
0.3508 -3.1262 -3.4191
-3.1249 -1.8513 -3.4831
-4.0992 -3.8706 -0.8242
-0.6235 -5.1455 -0.7602
-2.4002 -5.3853 -3.9251
1.9748 -2.3733 -0.1934
-1.3483 -1.6115 -0.3182

Record 4
Ac6La2Dy5, relaxed, DFT GGA-PBE; DOS(E_F) = 40.932 states/eV/cell; crystal system = orthorhombic; formation energy = 173 meV per atom; total DFT energy (no corrections) = -110.53 eV/cell
1.0
-3.2105 0.9819 1.7145
1.3926 -8.5859 7.5248
11.9667 14.3686 14.1802
La Dy Ac
4 10 12
Cartesian
9.4364 9.7147 12.1072
9.6486 4.8405 15.2959
3.9229 -3.9321 9.5978
3.7107 0.9422 6.4091
8.6783 3.5476 18.3639
1.4704 3.2169 5.0556
10.5121 13.2900 16.2185
2.2612 -0.9624 8.9300
4.3781 7.6752 7.9474
7.8875 7.7270 14.4894
4.7498 4.7430 10.3227
5.3989 2.0215 13.0968
-0.9090 -3.8020 4.6196
-0.3634 -6.5255 7.2010
1.3336 1.3476 1.7256
7.9444 4.6637 12.2059
4.0003 -1.3329 12.3988
2.2801 -3.8638 6.4824
12.0256 4.4351 19.9794
5.4149 1.1190 9.4991
4.7994 4.2902 6.5305
11.0792 9.6465 15.2226
9.7499 7.2928 18.2256
8.5599 1.4925 15.1745
6.1484 8.0974 11.0206
0.3988 -0.5283 5.1938